(1)
A relaxed structure of NaReAuSe3. Source: the Open Quantum Materials Database, functional PBE.

## Properties
Energy: -4.702 eV per atom
Magnetic moment: 2.2 μB/cell
Calculated volume: 22.32 A^3/atom

a = 8.0171 Å, b = 8.0171 Å, c = 10.0986 Å
α = 90.00°, β = 90.00°, γ = 155.63°
Sites, in units of the cell vectors:
Na  0.2009  0.7991  0.7500
Na  0.7991  0.2009  0.2500
Re  0.5000  0.5000  0.0000
Re  0.5000  0.5000  0.5000
Au  0.1438  0.8562  0.2500
Au  0.8562  0.1438  0.7500
Se  0.1226  0.8774  0.0113
Se  0.1226  0.8774  0.4887
Se  0.4626  0.5374  0.2500
Se  0.5374  0.4626  0.7500
Se  0.8774  0.1226  0.5113
Se  0.8774  0.1226  0.9887

=====

(2)
A relaxed structure of KTaCl6. Source: the Open Quantum Materials Database, functional PBE.

## Properties
Energy: -4.527 eV per atom
Magnetic moment: 0.0 μB/cell
Calculated volume: 30.10 A^3/atom

a = 6.3042 Å, b = 6.3042 Å, c = 6.6000 Å
α = 103.74°, β = 103.74°, γ = 99.30°
Sites, in units of the cell vectors:
K  0.0000  0.0000  0.0000
Ta  0.5000  0.5000  0.5000
Cl  0.2207  0.2207  0.5322
Cl  0.2260  0.5726  0.2265
Cl  0.4274  0.7740  0.7735
Cl  0.5726  0.2260  0.2265
Cl  0.7740  0.4274  0.7735
Cl  0.7793  0.7793  0.4678

=====

(3)
A relaxed structure of PrHfO3. Source: the Open Quantum Materials Database, functional PBE.

## Properties
Energy: -8.870 eV per atom
Magnetic moment: 0.0 μB/cell
Calculated volume: 14.23 A^3/atom

a = 6.0388 Å, b = 7.6043 Å, c = 6.1965 Å
α = 90.00°, β = 90.00°, γ = 90.00°
Sites, in units of the cell vectors:
Pr  0.0000  0.0000  0.0000
Pr  0.0000  0.5000  0.0000
Pr  0.5000  0.0000  0.5000
Pr  0.5000  0.5000  0.5000
Hf  0.0136  0.2500  0.4755
Hf  0.4864  0.7500  0.9755
Hf  0.5136  0.2500  0.0245
Hf  0.9864  0.7500  0.5245
O  0.1347  0.5575  0.3581
O  0.1347  0.9425  0.3581
O  0.1797  0.7500  0.7821
O  0.3203  0.2500  0.2821
O  0.3653  0.0575  0.8581
O  0.3653  0.4425  0.8581
O  0.6347  0.5575  0.1419
O  0.6347  0.9425  0.1419
O  0.6797  0.7500  0.7179
O  0.8203  0.2500  0.2179
O  0.8653  0.0575  0.6419
O  0.8653  0.4425  0.6419